## TlCoRu (PBE-GGA)

Data for a geometry-optimized TlCoRu structure.

The structure in extended XYZ format:
```
3
Lattice="4.291 0.000 0.000 -2.145 3.716 0.000 0.000 0.000 3.082" Properties=species:S:1:pos:R:3 pbc="T T T"
Tl 0.000 0.000 0.000
Co 2.145 1.239 1.261
Ru 0.000 2.477 1.634
```

Calculated values
For the energy above the most stable polymorph in this dataset, the calculation gives 0.244 eV/atom. The density of states at the Fermi level comes out at 3.05 states/eV/f.u. The formation enthalpy at 0 K comes out at 0.63 eV/atom. The magnetic moment comes out at 2.81 μB per cell.

=====

## TlCoRu2 (PBE-GGA)

Data for a geometry-optimized TlCoRu2 structure.

The structure in extended XYZ format:
```
8
Lattice="8.950 0.000 0.000 0.000 2.882 0.000 -0.877 0.000 4.794" Properties=species:S:1:pos:R:3 pbc="T T T"
Tl 0.000 0.000 0.000
Tl 4.475 1.441 0.000
Co 1.524 0.000 3.556
Co 5.999 1.441 3.556
Ru -0.407 1.441 2.414
Ru 2.057 1.441 1.545
Ru 4.068 0.000 2.414
Ru 6.532 0.000 1.545
```

Calculated values
For the energy above the most stable polymorph in this dataset, the calculation gives 0.080 eV/atom. The density of states at the Fermi level comes out at 5.91 states/eV/f.u. The formation enthalpy at 0 K comes out at 0.53 eV/atom. The magnetic moment comes out at 2.70 μB per cell.

=====

## TlCoRu (PBE-GGA)

Data for a geometry-optimized TlCoRu structure.

The structure in extended XYZ format:
```
6
Lattice="3.574 0.000 0.000 0.000 3.690 0.000 -1.728 0.000 8.967" Properties=species:S:1:pos:R:3 pbc="T T T"
Tl 0.034 0.000 1.455
Tl 1.811 0.000 7.512
Co 0.030 0.000 5.285
Co 1.815 0.000 3.682
Ru 0.029 1.845 3.616
Ru 1.817 1.845 5.350
```

Calculated values
For the energy above the most stable polymorph in this dataset, the calculation gives 0.024 eV/atom. The density of states at the Fermi level comes out at 3.65 states/eV/f.u. The formation enthalpy at 0 K comes out at 0.41 eV/atom. The magnetic moment comes out at 0.00 μB per cell.

=====

## Tm2CoRu (PBE-GGA)

Data for a geometry-optimized Tm2CoRu structure.

The structure in extended XYZ format:
```
16
Lattice="6.645 0.000 0.000 0.000 6.645 0.000 0.000 0.000 6.645" Properties=species:S:1:pos:R:3 pbc="T T T"
Tm 1.661 1.661 1.661
Tm 1.661 1.661 4.983
Tm 1.661 4.983 1.661
Tm 1.661 4.983 4.983
Tm 4.983 1.661 1.661
Tm 4.983 1.661 4.983
Tm 4.983 4.983 1.661
Tm 4.983 4.983 4.983
Co 0.000 0.000 0.000
Co 0.000 3.322 3.322
Co 3.322 0.000 3.322
Co 3.322 3.322 0.000
Ru 0.000 0.000 3.322
Ru 0.000 3.322 0.000
Ru 3.322 0.000 0.000
Ru 3.322 3.322 3.322
```

Calculated values
For the energy above the most stable polymorph in this dataset, the calculation gives 0.000 eV/atom. The density of states at the Fermi level comes out at 3.37 states/eV/f.u. The formation enthalpy at 0 K comes out at -0.34 eV/atom. The magnetic moment comes out at 0.00 μB per cell.

=====

Look up the formation enthalpy at 0 K of the third one.
0.41 eV/atom

=====

What is the formula in the third record?
TlCoRu

=====

What is the formula in the fourth record?
Tm2CoRu